DFT (PBE) results for a geometry-optimized MgCdBRh2 structure.

Structure (extended XYZ):
```
5
Lattice="-2.438 3.369 0.050 -1.169 -0.787 -3.913 -3.330 -2.432 1.484" Properties=species:S:1:pos:R:3 pbc="T T T"
Rh -1.219 1.684 0.025
Mg -3.468 0.075 -1.189
B 0.000 0.000 0.000
Cd -1.665 -1.216 0.742
Rh -0.584 -0.394 -1.956
```

Output
The magnetization comes out at 0.0 Bohr magnetons per cell. Its energy above the most stable polymorph in this dataset is 0.068 eV per atom. The value obtained for the energy of formation is -0.216 eV/atom. Its total energy is -0.18353 Ha/atom.

DFT (PBE) results for a geometry-optimized Ti3AlPd4 structure.

Structure (extended XYZ):
```
16
Lattice="-1.827 -0.121 -4.644 -4.611 -2.212 1.872 -3.534 8.358 1.173" Properties=species:S:1:pos:R:3 pbc="T T T"
Pd -4.763 3.284 -2.067
Pd -3.023 -0.911 -2.616
Al -0.948 -0.316 -0.601
Ti -5.262 -2.007 -1.549
Pd -5.685 0.133 -0.009
Ti -7.264 4.730 -2.310
Pd -3.327 -1.431 0.174
Ti -2.703 3.869 -0.025
Pd -3.133 1.673 -3.737
Al -7.013 2.178 -0.963
Pd -5.049 2.766 0.768
Ti -5.169 5.428 -0.469
Ti -3.377 1.190 -1.064
Ti -5.523 0.610 -2.888
Pd -7.430 4.260 0.570
Pd -4.922 5.903 -3.143
```

Output
The magnetization comes out at 0.0 Bohr magnetons per cell. Its energy above the most stable polymorph in this dataset is 0.027 eV per atom. The value obtained for the energy of formation is -0.572 eV/atom. Its total energy is -0.24242 Ha/atom.

DFT (PBE) results for a geometry-optimized BeFe2Ru structure.

Structure (extended XYZ):
```
4
Lattice="-3.927 -0.538 0.026 0.541 -3.926 0.061 1.705 2.277 2.760" Properties=species:S:1:pos:R:3 pbc="T T T"
Fe 0.276 -1.941 1.432
Fe -3.926 -0.539 0.026
Ru 0.012 0.045 2.804
Be -1.957 -0.247 1.415
```

Output
The magnetization comes out at 2.2 Bohr magnetons per cell. The value obtained for the energy of formation is -0.008 eV/atom. Its total energy is -0.27526 Ha/atom.

DFT (PBE) results for a geometry-optimized AlCu2Pd5 structure.

Structure (extended XYZ):
```
16
Lattice="4.115 0.000 0.000 0.000 5.351 0.000 0.000 0.000 10.424" Properties=species:S:1:pos:R:3 pbc="T T T"
Pd 2.058 4.397 4.063
Cu 2.058 1.749 3.814
Al 0.000 2.676 0.000
Pd 2.058 0.955 6.362
Pd 0.000 4.835 7.681
Pd 0.000 2.676 5.212
Cu 2.058 3.602 6.610
Al 0.000 0.000 5.212
Pd 2.058 3.630 9.275
Pd 0.000 3.192 2.469
Cu 2.058 0.926 9.026
Pd 2.058 1.721 1.149
Cu 2.058 4.425 1.398
Pd 0.000 0.000 0.000
Pd 0.000 0.517 2.743
Pd 0.000 2.159 7.955
```

Output
The magnetization comes out at 0.0 Bohr magnetons per cell. Its energy above the most stable polymorph in this dataset is 0.000 eV per atom. The value obtained for the energy of formation is -0.394 eV/atom. Its total energy is -0.18859 Ha/atom.

DFT (PBE) results for a geometry-optimized FePbBr2 structure.

Structure (extended XYZ):
```
4
Lattice="-1.347 -0.138 5.734 1.923 -5.455 -1.119 3.132 -0.390 1.797" Properties=species:S:1:pos:R:3 pbc="T T T"
Br 0.000 0.000 0.000
Pb 2.527 -2.923 0.339
Br 0.288 -2.797 2.307
Fe 0.892 -0.264 3.765
```

Output
As for the uncorrected formation energy: 25 kJ per mole of atoms. The magnetization comes out at 3.4 Bohr magnetons per cell. Its energy above the most stable polymorph in this dataset is 0.436 eV per atom. Its total energy is -0.13320 Ha/atom.

DFT (PBE) results for a geometry-optimized CdTc3Pt structure.

Structure (extended XYZ):
```
5
Lattice="4.785 0.000 0.000 0.000 4.785 0.000 0.000 0.000 4.785" Properties=species:S:1:pos:R:3 pbc="T T T"
Tc 2.392 0.000 0.000
Cd 2.392 2.392 2.392
Tc 0.000 2.392 0.000
Tc 0.000 0.000 2.392
Pt 0.000 0.000 0.000
```

Output
The magnetization comes out at 3.1 Bohr magnetons per cell. Its energy above the most stable polymorph in this dataset is 0.000 eV per atom. The value obtained for the energy of formation is 1.784 eV/atom. Its total energy is -0.21415 Ha/atom.

DFT (PBE) results for a geometry-optimized CrReW2 structure.

Structure (extended XYZ):
```
4
Lattice="-0.888 -2.410 -0.859 1.470 1.203 -1.930 7.162 -3.751 3.116" Properties=species:S:1:pos:R:3 pbc="T T T"
Cr 2.081 -1.541 -0.615
W 0.074 -0.039 0.032
Re 5.662 -3.416 0.943
W 3.507 -1.837 1.526
```

Output
The magnetization comes out at 0.0 Bohr magnetons per cell. Its energy above the most stable polymorph in this dataset is 0.075 eV per atom. The value obtained for the energy of formation is 0.102 eV/atom. Its total energy is -0.43702 Ha/atom.

DFT (PBE) results for a geometry-optimized CeEu2Pb structure.

Structure (extended XYZ):
```
4
Lattice="4.226 0.000 0.000 0.000 4.226 0.000 0.000 0.000 7.461" Properties=species:S:1:pos:R:3 pbc="T T T"
Eu 0.000 0.000 5.778
Pb 2.113 2.113 0.000
Eu 0.000 0.000 1.683
Ce 2.113 2.113 3.731
```

Output
The magnetization comes out at 16.6 Bohr magnetons per cell. Its energy above the most stable polymorph in this dataset is 0.125 eV per atom. The value obtained for the energy of formation is -0.122 eV/atom. Its total energy is -0.28187 Ha/atom.

DFT (PBE) results for a geometry-optimized Al2FeBr structure.

Structure (extended XYZ):
```
4
Lattice="7.917 -0.011 -0.006 7.286 3.098 -0.006 7.286 1.479 2.722" Properties=species:S:1:pos:R:3 pbc="T T T"
Al 0.284 0.058 0.034
Al 10.961 2.226 1.320
Fe 16.867 3.425 2.032
Br 5.622 1.142 0.677
```

Output
As for the uncorrected formation energy: -1 kJ per mole of atoms. The magnetization comes out at 1.0 Bohr magnetons per cell. Its energy above the most stable polymorph in this dataset is 0.068 eV per atom. Its total energy is -0.16225 Ha/atom.

DFT (PBE) results for a geometry-optimized Tc2MoIr structure.

Structure (extended XYZ):
```
4
Lattice="4.802 -0.004 0.000 1.665 4.505 0.000 -3.234 -2.250 2.746" Properties=species:S:1:pos:R:3 pbc="T T T"
Mo 2.401 -0.002 1.373
Ir 0.832 2.252 1.373
Tc 0.000 0.000 0.000
Tc 3.234 2.250 0.000
```

Output
The magnetization comes out at 0.0 Bohr magnetons per cell. Its energy above the most stable polymorph in this dataset is 0.070 eV per atom. The value obtained for the energy of formation is -0.072 eV/atom. Its total energy is -0.37403 Ha/atom.